Density functional theory data (PBE) for a relaxed Sr2Cu16Ni crystal.

a b c (Å): 8.6951 8.6951 12.6340
angles (deg): 90.00 90.00 120.00
Space group R3m (No. 160, hexagonal axes)
Asymmetric unit:
Sr 0.0000 0.0000 0.0000 [3 per cell]
Sr 0.0000 0.0000 0.3163 [3 per cell]
Cu 0.0000 0.0000 0.5639 [3 per cell]
Cu 0.0000 0.2868 0.6591 [18 per cell]
Cu 0.0088 0.5044 0.5024 [9 per cell]
Cu 0.1676 0.3351 0.4922 [9 per cell]
Cu 0.1704 0.3407 0.1491 [9 per cell]
Ni 0.0000 0.0000 0.7544 [3 per cell]

Properties
- Total moment: 0.000 μB/atom
- ρ: 7.53 g/cm³
- E: -3.96 eV/atom

***

Density functional theory data (PBE) for a relaxed Ti7ZnGa4 crystal.

a b c (Å): 11.3833 4.8491 9.4673
angles (deg): 90.00 126.02 90.00
Space group C2/m (No. 12)
Asymmetric unit:
Ti 0.0000 0.0000 0.0000 [2 per cell]
Ti 0.0694 0.5000 0.3284 [4 per cell]
Ti 0.1563 0.0000 0.5831 [4 per cell]
Ti 0.2100 0.5000 0.8755 [4 per cell]
Zn 0.0000 0.5000 0.0000 [2 per cell]
Ga 0.0678 0.0000 0.7761 [4 per cell]
Ga 0.2075 0.0000 0.3354 [4 per cell]

Properties
- Total moment: 0.000 μB/atom
- ρ: 5.34 g/cm³
- E: -5.74 eV/atom

***

Density functional theory data (PBE) for a relaxed Sm4Ho2TmSc crystal.

a b c (Å): 5.0416 5.0416 9.8514
angles (deg): 90.00 90.00 90.00
Space group P4/mmm (No. 123)
Asymmetric unit:
Sm 0.0000 0.5000 0.2456 [4 per cell]
Ho 0.0000 0.0000 0.0000 [1 per cell]
Ho 0.5000 0.5000 0.5000 [1 per cell]
Tm 0.0000 0.0000 0.5000 [1 per cell]
Sc 0.5000 0.5000 0.0000 [1 per cell]

Properties
- Total moment: 0.000 μB/atom
- ρ: 7.59 g/cm³
- E: -4.83 eV/atom